Cr2SBr PBE-GGA optimized geometry; space-group type = No. 225; N(E_F) = 7.4 states/eV/cell; E = -96.273 eV for the cell shown
1.0
6.648 0.000 0.000
0.000 6.648 0.000
0.000 0.000 6.648
Cr S Br
8 4 4
direct
0.250 0.250 0.250
0.250 0.250 0.750
0.250 0.750 0.250
0.250 0.750 0.750
0.750 0.250 0.250
0.750 0.250 0.750
0.750 0.750 0.250
0.750 0.750 0.750
0.000 0.000 0.000
0.000 0.500 0.500
0.500 0.000 0.500
0.500 0.500 0.000
0.000 0.000 0.500
0.000 0.500 0.000
0.500 0.000 0.000
0.500 0.500 0.500

SmEr2NpO8 PBE-GGA optimized geometry; space-group type = No. 10; N(E_F) = 1.7 states/eV/cell; E = -104.778 eV for the cell shown
1.0
3.876 0.000 0.000
0.000 7.435 0.000
-0.306 0.000 5.358
Sm Er Np O
1 2 1 8
direct
0.000 0.000 0.000
0.500 0.243 0.500
0.500 0.757 0.500
0.000 0.500 0.000
0.022 0.280 0.759
0.022 0.720 0.759
0.465 0.500 0.227
0.495 0.000 0.741
0.505 0.000 0.259
0.535 0.500 0.773
0.978 0.280 0.241
0.978 0.720 0.241

Ca2IrAu PBE-GGA optimized geometry; space-group type = No. 8; N(E_F) = 3.2 states/eV/cell; E = -35.181 eV for the cell shown
1.0
11.004 0.000 0.000
0.000 3.270 0.000
-1.250 0.000 4.931
Ca Ir Au
4 2 2
direct
0.000 0.000 0.000
0.198 0.000 0.629
0.500 0.500 0.000
0.698 0.500 0.629
0.241 0.500 0.143
0.741 0.000 0.143
0.438 0.000 0.455
0.938 0.500 0.455

MgSc2Be2Pt5 PBE-GGA optimized geometry; space-group type = No. 127; N(E_F) = 7.4 states/eV/cell; E = -124.188 eV for the cell shown
1.0
9.333 0.000 0.000
0.000 9.333 0.000
0.000 0.000 3.447
Mg Sc Be Pt
2 4 4 10
direct
0.000 0.000 0.000
0.500 0.500 0.000
0.176 0.324 0.000
0.324 0.824 0.000
0.676 0.176 0.000
0.824 0.676 0.000
0.122 0.622 0.000
0.378 0.122 0.000
0.622 0.878 0.000
0.878 0.378 0.000
0.000 0.500 0.500
0.071 0.787 0.500
0.213 0.071 0.500
0.287 0.571 0.500
0.429 0.287 0.500
0.500 0.000 0.500
0.571 0.713 0.500
0.713 0.429 0.500
0.787 0.929 0.500
0.929 0.213 0.500

NaOsCl2 PBE-GGA optimized geometry; space-group type = No. 166; N(E_F) = 10.5 states/eV/cell; E = -49.622 eV for the cell shown
1.0
3.185 0.000 0.000
-1.593 2.759 0.000
0.000 0.000 25.081
Na Os Cl
3 3 6
direct
0.000 0.000 0.000
0.333 0.667 0.667
0.667 0.333 0.333
0.000 0.000 0.500
0.333 0.667 0.167
0.667 0.333 0.833
0.000 0.000 0.408
0.000 0.000 0.592
0.333 0.667 0.075
0.333 0.667 0.258
0.667 0.333 0.742
0.667 0.333 0.925

CaAcZn2Hg2 PBE-GGA optimized geometry; space-group type = No. 164; N(E_F) = 5.3 states/eV/cell; E = -11.610 eV for the cell shown
1.0
4.757 0.000 0.000
-2.378 4.119 0.000
0.000 0.000 7.945
Ca Ac Zn Hg
1 1 2 2
direct
0.000 0.000 0.000
0.000 0.000 0.500
0.333 0.667 0.230
0.667 0.333 0.770
0.333 0.667 0.769
0.667 0.333 0.231

Repeat the fifth record exactly.
NaOsCl2 PBE-GGA optimized geometry; space-group type = No. 166; N(E_F) = 10.5 states/eV/cell; E = -49.622 eV for the cell shown
1.0
3.185 0.000 0.000
-1.593 2.759 0.000
0.000 0.000 25.081
Na Os Cl
3 3 6
direct
0.000 0.000 0.000
0.333 0.667 0.667
0.667 0.333 0.333
0.000 0.000 0.500
0.333 0.667 0.167
0.667 0.333 0.833
0.000 0.000 0.408
0.000 0.000 0.592
0.333 0.667 0.075
0.333 0.667 0.258
0.667 0.333 0.742
0.667 0.333 0.925